Here is crystalline MnGeF3 at its relaxed geometry from Alexandria. Energies are from GGA+U.

Geometry as POSCAR:
```
MnGeF3
1.0
4.229 0.000 0.000
0.000 4.229 0.000
0.000 0.000 4.229
Mn Ge F
1 1 3
Direct
0.000 0.000 0.000
0.500 0.500 0.500
0.000 0.000 0.500
0.000 0.500 0.000
0.500 0.000 0.000
```

Properties
Space group: Pm-3m
Distance to the lowest polymorph of the same formula (eV/atom): 0.000